Record 1
DFT (PBE) results for an optimized crystal structure of Tb2DyCd3.

Cell and atoms, written as POSCAR:
```
Tb2DyCd3
1.0
5.304 0.000 0.000
-2.652 4.594 0.000
0.000 0.000 6.513
Tb Dy Cd
2 1 3
Direct
0.333 0.667 0.168
0.667 0.333 0.832
0.000 0.000 0.500
0.000 0.000 0.000
0.333 0.667 0.667
0.667 0.333 0.333
```

Summary:
formation energy from the elements: -0.32 eV per atom
Fermi-level density of states: 1.172 states/eV per atom
symmetry: P-3m1 (164)

Record 2
DFT (PBE) results for an optimized crystal structure of Tb3Dy2Cd2.

Cell and atoms, written as POSCAR:
```
Tb3Dy2Cd2
1.0
2.693 1.555 7.958
-2.693 1.555 7.958
0.000 -3.110 7.958
Tb Dy Cd
3 2 2
Direct
0.000 0.000 0.000
0.157 0.157 0.157
0.843 0.843 0.843
0.426 0.426 0.426
0.574 0.574 0.574
0.289 0.289 0.289
0.711 0.711 0.711
```

Summary:
excess energy over the best structure of this formula in the dataset: 0.00 eV/f.u.
formation energy from the elements: -0.16 eV per atom
Fermi-level density of states: 1.035 states/eV per atom
symmetry: R-3m (166)

Record 3
DFT (PBE) results for an optimized crystal structure of Tb2Dy8Cd.

Cell and atoms, written as POSCAR:
```
Tb2Dy8Cd
1.0
-2.727 3.738 8.569
2.727 -3.738 8.569
2.727 3.738 -8.569
Tb Dy Cd
2 8 1
Direct
0.193 0.193 0.000
0.807 0.807 0.000
0.097 0.364 0.734
0.244 0.000 0.244
0.318 0.818 0.500
0.370 0.636 0.734
0.630 0.364 0.266
0.682 0.182 0.500
0.756 0.000 0.756
0.903 0.636 0.266
0.500 0.500 0.000
```

Summary:
excess energy over the best structure of this formula in the dataset: 0.60 eV/f.u.
formation energy from the elements: 0.05 eV per atom
Fermi-level density of states: 1.705 states/eV per atom
symmetry: Immm (71)

Record 4
DFT (PBE) results for an optimized crystal structure of Tb3Dy2Cd.

Cell and atoms, written as POSCAR:
```
Tb3Dy2Cd
1.0
3.567 0.000 0.000
0.000 3.567 0.000
0.000 0.000 14.166
Tb Dy Cd
3 2 1
Direct
0.000 0.000 0.000
0.000 0.000 0.352
0.000 0.000 0.648
0.500 0.500 0.177
0.500 0.500 0.823
0.500 0.500 0.500
```

Summary:
excess energy over the best structure of this formula in the dataset: 0.00 eV/f.u.
formation energy from the elements: -0.09 eV per atom
Fermi-level density of states: 1.372 states/eV per atom
symmetry: P4/mmm (123)

Record 5
DFT (PBE) results for an optimized crystal structure of Tb3Dy2Cd2.

Cell and atoms, written as POSCAR:
```
Tb3Dy2Cd2
1.0
2.531 -11.408 0.000
2.531 11.408 0.000
0.000 0.000 3.469
Tb Dy Cd
3 2 2
Direct
0.000 0.000 0.000
0.146 0.854 0.000
0.854 0.146 0.000
0.290 0.710 0.500
0.710 0.290 0.500
0.431 0.569 0.500
0.569 0.431 0.500
```

Summary:
excess energy over the best structure of this formula in the dataset: 0.75 eV/f.u.
formation energy from the elements: -0.05 eV per atom
Fermi-level density of states: 1.087 states/eV per atom
symmetry: Cmmm (65)

Record 6
DFT (PBE) results for an optimized crystal structure of Tb4Dy5Cd2.

Cell and atoms, written as POSCAR:
```
Tb4Dy5Cd2
1.0
8.562 0.000 0.000
0.000 3.473 0.000
-0.688 0.000 11.143
Tb Dy Cd
4 5 2
Direct
0.146 0.000 0.382
0.273 0.000 0.951
0.727 0.000 0.049
0.854 0.000 0.618
0.203 0.500 0.666
0.433 0.500 0.204
0.500 0.500 0.500
0.567 0.500 0.796
0.797 0.500 0.334
0.056 0.500 0.133
0.944 0.500 0.867
```

Summary:
formation energy from the elements: 0.01 eV per atom
Fermi-level density of states: 1.437 states/eV per atom
symmetry: P2/m (10)

Record 7
DFT (PBE) results for an optimized crystal structure of Tb4DyCd3.

Cell and atoms, written as POSCAR:
```
Tb4DyCd3
1.0
3.758 0.000 0.000
0.000 5.390 0.000
0.000 0.000 10.949
Tb Dy Cd
4 1 3
Direct
0.000 0.000 0.000
0.000 0.000 0.500
0.000 0.500 0.237
0.000 0.500 0.763
0.500 0.500 0.500
0.500 0.000 0.252
0.500 0.000 0.748
0.500 0.500 0.000
```

Summary:
formation energy from the elements: -0.18 eV per atom
Fermi-level density of states: 1.385 states/eV per atom
symmetry: Pmmm (47)

Record 8
DFT (PBE) results for an optimized crystal structure of Tb2DyCd2.

Cell and atoms, written as POSCAR:
```
Tb2DyCd2
1.0
-2.505 3.435 4.110
2.505 -3.435 4.110
2.505 3.435 -4.110
Tb Dy Cd
2 1 2
Direct
0.198 0.198 0.000
0.802 0.802 0.000
0.500 0.000 0.500
0.209 0.500 0.709
0.791 0.500 0.291
```

Summary:
excess energy over the best structure of this formula in the dataset: 0.47 eV/f.u.
formation energy from the elements: -0.16 eV per atom
Fermi-level density of states: 1.177 states/eV per atom
symmetry: Immm (71)

Among the records above, which one has the lowest formation energy from the elements?
Tb2DyCd3